VASP calculation (PBE) on a relaxed structure of Pu4HgCl8.

Cell: 4.0558 10.2615 10.6184 Å, 83.48 78.99 78.60°
Positions (direct):
1 Pu 0.3602 0.8332 0.4463
2 Pu 0.8508 0.4954 0.8029
3 Pu 0.1804 0.5081 0.1311
4 Pu 0.6711 0.1703 0.4875
5 Hg 0.5167 0.0008 0.9658
6 Cl 0.1593 0.3250 0.3564
7 Cl 0.5493 0.6600 0.2415
8 Cl 0.4820 0.3434 0.6926
9 Cl 0.8718 0.6787 0.5777
10 Cl 0.8570 0.9766 0.3094
11 Cl 0.2241 0.6579 0.8939
12 Cl 0.1743 0.0270 0.6243
13 Cl 0.8072 0.3456 0.0401

**Total energy**: -0.2635 Ha/atom
**ΔE_f (raw)**: -1.60 eV/atom